Run A
A plane-wave DFT calculation with GGA-PBE was carried out for a relaxed MgAlI2O crystal.

Unit cell a=5.902 b=5.902 c=3.792 alpha=90.00 beta=90.00 gamma=90.00
Element x y z (fractional)
Mg (0.000, 0.000, 0.000)
Al (0.500, 0.500, 0.500)
I (0.000, 0.500, 0.000)
I (0.500, 0.000, 0.000)
O (0.000, 0.000, 0.500)

Calculated values
- N(E_F): 6.12 states/eV/f.u.

***

Run B
A plane-wave DFT calculation with GGA-PBE was carried out for a relaxed MgAlI2O crystal.

Unit cell a=5.803 b=5.803 c=3.545 alpha=90.00 beta=90.00 gamma=90.00
Element x y z (fractional)
Mg (0.000, 0.000, 0.000)
Al (0.500, 0.500, 0.500)
I (0.000, 0.500, 0.500)
I (0.500, 0.000, 0.500)
O (0.500, 0.500, 0.000)

Calculated values
- N(E_F): 1.79 states/eV/f.u.

***

Least stable of them? run A.

***

Run A
A plane-wave DFT calculation with GGA-PBE was carried out for a relaxed MgAlSb2I crystal.

Unit cell a=5.414 b=5.414 c=5.853 alpha=90.00 beta=90.00 gamma=90.00
Element x y z (fractional)
Mg (0.000, 0.000, 0.000)
Al (0.500, 0.500, 0.500)
Sb (0.000, 0.500, 0.000)
Sb (0.500, 0.000, 0.000)
I (0.000, 0.000, 0.500)

Calculated values
- N(E_F): 3.83 states/eV/f.u.

***

Run B
A plane-wave DFT calculation with GGA-PBE was carried out for a relaxed MgAlSb2I crystal.

Unit cell a=5.351 b=5.351 c=5.567 alpha=90.00 beta=90.00 gamma=90.00
Element x y z (fractional)
Mg (0.000, 0.000, 0.000)
Al (0.500, 0.500, 0.500)
Sb (0.000, 0.500, 0.500)
Sb (0.500, 0.000, 0.500)
I (0.500, 0.500, 0.000)

Calculated values
- N(E_F): 5.91 states/eV/f.u.

***

Least stable of them? run A.

***

Run A
A plane-wave DFT calculation with GGA-PBE was carried out for a relaxed MgAlTeI2 crystal.

Unit cell a=5.728 b=5.728 c=5.574 alpha=90.00 beta=90.00 gamma=90.00
Element x y z (fractional)
Mg (0.000, 0.000, 0.000)
Al (0.500, 0.500, 0.500)
Te (0.000, 0.000, 0.500)
I (0.000, 0.500, 0.000)
I (0.500, 0.000, 0.000)

Calculated values
- N(E_F): 2.99 states/eV/f.u.

***

Run B
A plane-wave DFT calculation with GGA-PBE was carried out for a relaxed MgAlTeI2 crystal.

Unit cell a=5.484 b=5.484 c=5.592 alpha=90.00 beta=90.00 gamma=90.00
Element x y z (fractional)
Mg (0.000, 0.000, 0.000)
Al (0.500, 0.500, 0.500)
Te (0.500, 0.500, 0.000)
I (0.000, 0.500, 0.500)
I (0.500, 0.000, 0.500)

Calculated values
- N(E_F): 1.54 states/eV/f.u.

***

Least stable of them? run B.

***

Run A
A plane-wave DFT calculation with GGA-PBE was carried out for a relaxed Mn2AlI crystal.

Unit cell a=7.524 b=7.524 c=6.013 alpha=90.00 beta=90.00 gamma=90.00
Element x y z (fractional)
Mn (0.234, 0.750, 0.125)
Mn (0.250, 0.234, 0.875)
Mn (0.250, 0.266, 0.375)
Mn (0.266, 0.750, 0.625)
Mn (0.734, 0.250, 0.625)
Mn (0.750, 0.734, 0.375)
Mn (0.750, 0.766, 0.875)
Mn (0.766, 0.250, 0.125)
Al (0.000, 0.000, 0.000)
Al (0.000, 0.500, 0.250)
Al (0.500, 0.000, 0.750)
Al (0.500, 0.500, 0.500)
I (0.000, 0.000, 0.500)
I (0.000, 0.500, 0.750)
I (0.500, 0.000, 0.250)
I (0.500, 0.500, 0.000)

Calculated values
- N(E_F): 1.23 states/eV/f.u.

***

Run B
A plane-wave DFT calculation with GGA-PBE was carried out for a relaxed Mn2AlI crystal.

Unit cell a=6.085 b=6.085 c=6.085 alpha=90.00 beta=90.00 gamma=90.00
Element x y z (fractional)
Mn (0.250, 0.250, 0.250)
Mn (0.250, 0.250, 0.750)
Mn (0.250, 0.750, 0.250)
Mn (0.250, 0.750, 0.750)
Mn (0.750, 0.250, 0.250)
Mn (0.750, 0.250, 0.750)
Mn (0.750, 0.750, 0.250)
Mn (0.750, 0.750, 0.750)
Al (0.000, 0.000, 0.000)
Al (0.000, 0.500, 0.500)
Al (0.500, 0.000, 0.500)
Al (0.500, 0.500, 0.000)
I (0.000, 0.000, 0.500)
I (0.000, 0.500, 0.000)
I (0.500, 0.000, 0.000)
I (0.500, 0.500, 0.500)

Calculated values
- N(E_F): 3.73 states/eV/f.u.

***

Least stable of them? run B.

***

Run A
A plane-wave DFT calculation with GGA-PBE was carried out for a relaxed MnAlI2 crystal.

Unit cell a=8.415 b=8.415 c=7.271 alpha=90.00 beta=90.00 gamma=90.00
Element x y z (fractional)
Mn (0.000, 0.000, 0.000)
Mn (0.000, 0.500, 0.250)
Mn (0.500, 0.000, 0.750)
Mn (0.500, 0.500, 0.500)
Al (0.000, 0.000, 0.500)
Al (0.000, 0.500, 0.750)
Al (0.500, 0.000, 0.250)
Al (0.500, 0.500, 0.000)
I (0.180, 0.250, 0.125)
I (0.250, 0.680, 0.375)
I (0.250, 0.820, 0.875)
I (0.320, 0.250, 0.625)
I (0.680, 0.750, 0.625)
I (0.750, 0.180, 0.875)
I (0.750, 0.320, 0.375)
I (0.820, 0.750, 0.125)

Calculated values
- N(E_F): 1.24 states/eV/f.u.

***

Run B
A plane-wave DFT calculation with GGA-PBE was carried out for a relaxed MnAlI2 crystal.

Unit cell a=7.065 b=7.065 c=7.065 alpha=90.00 beta=90.00 gamma=90.00
Element x y z (fractional)
Mn (0.000, 0.000, 0.000)
Mn (0.000, 0.500, 0.500)
Mn (0.500, 0.000, 0.500)
Mn (0.500, 0.500, 0.000)
Al (0.000, 0.000, 0.500)
Al (0.000, 0.500, 0.000)
Al (0.500, 0.000, 0.000)
Al (0.500, 0.500, 0.500)
I (0.250, 0.250, 0.250)
I (0.250, 0.250, 0.750)
I (0.250, 0.750, 0.250)
I (0.250, 0.750, 0.750)
I (0.750, 0.250, 0.250)
I (0.750, 0.250, 0.750)
I (0.750, 0.750, 0.250)
I (0.750, 0.750, 0.750)

Calculated values
- N(E_F): 7.30 states/eV/f.u.

***

Least stable of them? run B.

***

Run A
A plane-wave DFT calculation with GGA-PBE was carried out for a relaxed MnAlI2N crystal.

Unit cell a=5.752 b=5.752 c=3.564 alpha=90.00 beta=90.00 gamma=90.00
Element x y z (fractional)
Mn (0.000, 0.000, 0.000)
Al (0.500, 0.500, 0.500)
I (0.000, 0.500, 0.500)
I (0.500, 0.000, 0.500)
N (0.500, 0.500, 0.000)

Calculated values
- N(E_F): 3.64 states/eV/f.u.

***

Run B
A plane-wave DFT calculation with GGA-PBE was carried out for a relaxed MnAlI2N crystal.

Unit cell a=5.803 b=5.803 c=3.634 alpha=90.00 beta=90.00 gamma=90.00
Element x y z (fractional)
Mn (0.000, 0.000, 0.000)
Al (0.500, 0.500, 0.500)
I (0.000, 0.500, 0.000)
I (0.500, 0.000, 0.000)
N (0.000, 0.000, 0.500)

Calculated values
- N(E_F): 2.21 states/eV/f.u.

***

Least stable of them? run A.